! Ac11Tl4Pb9 | Alexandria via LeMat-Bulk | PBE-GGA | optimized geometry; values from VASP
! - energy relative to the elements (eV/atom) = -0.423
! - crystal system = orthorhombic
! - total moment (μB/atom) = 0.0000
&SYSTEM
  ibrav = 0, nat = 24, ntyp = 3
/
ATOMIC_SPECIES
Ac 227.00 Ac.upf
Tl 204.38 Tl.upf
Pb 207.20 Pb.upf
CELL_PARAMETERS angstrom
7.7748 -11.3772 0.0000
7.7748 11.3772 0.0000
0.0000 0.0000 4.8078
ATOMIC_POSITIONS crystal
Ac 0.0000 0.0000 0.0000
Ac 0.0712 0.4115 0.0000
Ac 0.1763 0.8237 0.0000
Ac 0.2717 0.2717 0.0000
Ac 0.3682 0.6318 0.0000
Ac 0.4115 0.0712 0.0000
Ac 0.5885 0.9288 0.0000
Ac 0.6318 0.3682 0.0000
Ac 0.7283 0.7283 0.0000
Ac 0.8237 0.1763 0.0000
Ac 0.9288 0.5885 0.0000
Tl 0.2526 0.4412 0.5000
Tl 0.4412 0.2526 0.5000
Tl 0.5588 0.7474 0.5000
Tl 0.7474 0.5588 0.5000
Pb 0.0401 0.2050 0.5000
Pb 0.1463 0.6234 0.5000
Pb 0.2050 0.0401 0.5000
Pb 0.3766 0.8537 0.5000
Pb 0.5000 0.5000 0.5000
Pb 0.6234 0.1463 0.5000
Pb 0.7950 0.9599 0.5000
Pb 0.8537 0.3766 0.5000
Pb 0.9599 0.7950 0.5000



! LiW5 | Alexandria via LeMat-Bulk | PBE-GGA | optimized geometry; values from VASP
! - energy relative to the elements (eV/atom) = 0.303
! - crystal system = orthorhombic
! - total moment (μB/atom) = 0.0000
! - relative energy among the computed polymorphs (eV per atom) = 0.000
&SYSTEM
  ibrav = 0, nat = 12, ntyp = 2
/
ATOMIC_SPECIES
Li 6.94 Li.upf
W 183.84 W.upf
CELL_PARAMETERS angstrom
4.4357 0.0000 0.0000
0.0000 13.1147 0.0000
0.0000 0.0000 3.2128
ATOMIC_POSITIONS crystal
Li 0.0000 0.0000 0.0000
Li 0.5000 0.5000 0.0000
W 0.0000 0.1652 0.5000
W 0.0000 0.3358 0.0000
W 0.0000 0.5000 0.5000
W 0.0000 0.6642 0.0000
W 0.0000 0.8348 0.5000
W 0.5000 0.0000 0.5000
W 0.5000 0.1642 0.0000
W 0.5000 0.3348 0.5000
W 0.5000 0.6652 0.5000
W 0.5000 0.8358 0.0000



! Rb2GaF | Alexandria via LeMat-Bulk | PBE-GGA | optimized geometry; values from VASP
! - crystal system = tetragonal
! - total moment (μB/atom) = 0.2472
! - formation energy without anion corrections (eV/atom) = -1.012
! - relative energy among the computed polymorphs (eV per atom) = 0.000
&SYSTEM
  ibrav = 0, nat = 16, ntyp = 3
/
ATOMIC_SPECIES
Rb 85.47 Rb.upf
Ga 69.72 Ga.upf
F 19.00 F.upf
CELL_PARAMETERS angstrom
8.1758 0.0000 0.0000
0.0000 8.1758 0.0000
0.0000 0.0000 9.6923
ATOMIC_POSITIONS crystal
Rb 0.1430 0.2500 0.1250
Rb 0.2500 0.6430 0.3750
Rb 0.2500 0.8570 0.8750
Rb 0.3570 0.2500 0.6250
Rb 0.6430 0.7500 0.6250
Rb 0.7500 0.1430 0.8750
Rb 0.7500 0.3570 0.3750
Rb 0.8570 0.7500 0.1250
Ga 0.0000 0.0000 0.5000
Ga 0.0000 0.5000 0.7500
Ga 0.5000 0.0000 0.2500
Ga 0.5000 0.5000 0.0000
F 0.0000 0.0000 0.0000
F 0.0000 0.5000 0.2500
F 0.5000 0.0000 0.7500
F 0.5000 0.5000 0.5000



! CsRb2MgF5 | Alexandria via LeMat-Bulk | PBE-GGA | optimized geometry; values from VASP
! - crystal system = orthorhombic
! - total moment (μB/atom) = 0.0101
! - formation energy without anion corrections (eV/atom) = -2.993
&SYSTEM
  ibrav = 0, nat = 9, ntyp = 4
/
ATOMIC_SPECIES
Cs 132.91 Cs.upf
Rb 85.47 Rb.upf
Mg 24.30 Mg.upf
F 19.00 F.upf
CELL_PARAMETERS angstrom
-2.0796 3.2862 6.4258
2.0796 -3.2862 6.4258
2.0796 3.2862 -6.4258
ATOMIC_POSITIONS crystal
Cs 0.0000 0.0000 0.0000
Rb 0.2819 0.7819 0.5000
Rb 0.7181 0.2181 0.5000
Mg 0.5000 0.5000 0.0000
F 0.1686 0.3850 0.7836
F 0.3986 0.6150 0.7836
F 0.5000 0.0000 0.5000
F 0.6014 0.3850 0.2164
F 0.8314 0.6150 0.2164



- total moment of number 3 (Rb2GaF)?
  0.2472 μB/atom